A plane-wave DFT calculation with GGA-PBE was carried out for a relaxed NdNiSnRh crystal.

Output
The value obtained for the energy of formation is -0.479 eV per atom. As for the final energy: -23.8 eV/f.u.

Unit cell a=4.761 b=4.761 c=4.761 alpha=60.00 beta=60.00 gamma=60.00
Element x y z (fractional)
Nd: 0.000 0.000 0.000
Ni: 0.250 0.250 0.250
Sn: 0.500 0.500 0.500
Rh: 0.750 0.750 0.750

---

A plane-wave DFT calculation with GGA-PBE was carried out for a relaxed TbNdNiRh crystal.

Output
The value obtained for the energy of formation is -0.511 eV per atom. As for the final energy: -24.6 eV/f.u. The value obtained for the excess energy over the best structure of this formula in the dataset is 63 meV per atom.

Unit cell a=4.916 b=4.916 c=4.916 alpha=60.00 beta=60.00 gamma=60.00
Element x y z (fractional)
Tb: 0.000 0.000 0.000
Nd: 0.500 0.500 0.500
Ni: 0.750 0.750 0.750
Rh: 0.250 0.250 0.250

---

A plane-wave DFT calculation with GGA-PBE was carried out for a relaxed TbNdNiRh crystal.

Output
The value obtained for the energy of formation is -0.574 eV per atom. As for the final energy: -24.8 eV/f.u. The value obtained for the excess energy over the best structure of this formula in the dataset is 0 meV per atom.

Unit cell a=4.131 b=5.758 c=5.758 alpha=39.63 beta=90.00 gamma=90.00
Element x y z (fractional)
Tb: 0.000 0.000 0.000
Nd: 0.500 0.281 0.281
Ni: 0.000 0.713 0.713
Rh: 0.500 0.557 0.557

---

A plane-wave DFT calculation with GGA-PBE was carried out for a relaxed NdThNiRh crystal.

Output
The value obtained for the energy of formation is -0.459 eV per atom. As for the final energy: -27.2 eV/f.u. The value obtained for the excess energy over the best structure of this formula in the dataset is 166 meV per atom.

Unit cell a=4.997 b=4.997 c=4.997 alpha=60.00 beta=60.00 gamma=60.00
Element x y z (fractional)
Nd: 0.000 0.000 0.000
Th: 0.500 0.500 0.500
Ni: 0.250 0.250 0.250
Rh: 0.750 0.750 0.750

---

A plane-wave DFT calculation with GGA-PBE was carried out for a relaxed NdThNiRh crystal.

Output
The value obtained for the energy of formation is -0.625 eV per atom. As for the final energy: -27.8 eV/f.u. The value obtained for the excess energy over the best structure of this formula in the dataset is 0 meV per atom.

Unit cell a=4.235 b=5.914 c=5.914 alpha=37.77 beta=90.00 gamma=90.00
Element x y z (fractional)
Nd: 0.000 0.000 0.000
Th: 0.500 0.731 0.731
Ni: 0.500 0.444 0.444
Rh: 0.000 0.269 0.269

---

A plane-wave DFT calculation with GGA-PBE was carried out for a relaxed NdTmNiRh crystal.

Output
The value obtained for the energy of formation is -0.600 eV per atom. As for the final energy: -24.8 eV/f.u. The value obtained for the excess energy over the best structure of this formula in the dataset is 0 meV per atom.

Unit cell a=4.113 b=5.715 c=5.715 alpha=39.40 beta=90.00 gamma=90.00
Element x y z (fractional)
Nd: 0.000 0.000 0.000
Tm: 0.500 0.281 0.281
Ni: 0.500 0.570 0.570
Rh: 0.000 0.727 0.727

---

A plane-wave DFT calculation with GGA-PBE was carried out for a relaxed NdTmNiRh crystal.

Output
The value obtained for the energy of formation is -0.547 eV per atom. As for the final energy: -24.6 eV/f.u. The value obtained for the excess energy over the best structure of this formula in the dataset is 53 meV per atom.

Unit cell a=4.877 b=4.877 c=4.877 alpha=60.00 beta=60.00 gamma=60.00
Element x y z (fractional)
Nd: 0.000 0.000 0.000
Tm: 0.500 0.500 0.500
Ni: 0.750 0.750 0.750
Rh: 0.250 0.250 0.250

---

A plane-wave DFT calculation with GGA-PBE was carried out for a relaxed NdZnNiRh crystal.

Output
The value obtained for the energy of formation is -0.307 eV per atom. As for the final energy: -20.4 eV/f.u.

Unit cell a=4.626 b=4.626 c=4.626 alpha=60.00 beta=60.00 gamma=60.00
Element x y z (fractional)
Nd: 0.000 0.000 0.000
Zn: 0.500 0.500 0.500
Ni: 0.750 0.750 0.750
Rh: 0.250 0.250 0.250

---

A plane-wave DFT calculation with GGA-PBE was carried out for a relaxed Nd2ZnNi5Rh2 crystal.

Output
The value obtained for the energy of formation is -0.172 eV per atom. As for the final energy: -56.1 eV/f.u.

Unit cell a=9.307 b=9.307 c=3.728 alpha=90.00 beta=90.00 gamma=90.00
Element x y z (fractional)
Nd: 0.171 0.329 0.000
Nd: 0.329 0.829 0.000
Nd: 0.671 0.171 0.000
Nd: 0.829 0.671 0.000
Zn: 0.000 0.000 0.000
Zn: 0.500 0.500 0.000
Ni: 0.000 0.500 0.500
Ni: 0.056 0.813 0.500
Ni: 0.187 0.056 0.500
Ni: 0.313 0.556 0.500
Ni: 0.444 0.313 0.500
Ni: 0.500 0.000 0.500
Ni: 0.556 0.687 0.500
Ni: 0.687 0.444 0.500
Ni: 0.813 0.944 0.500
Ni: 0.944 0.187 0.500
Rh: 0.130 0.630 0.000
Rh: 0.370 0.130 0.000
Rh: 0.630 0.870 0.000
Rh: 0.870 0.370 0.000

---

A plane-wave DFT calculation with GGA-PBE was carried out for a relaxed NdZn3NiRh crystal.

Output
The value obtained for the energy of formation is -0.314 eV per atom. As for the final energy: -23.6 eV/f.u.

Unit cell a=7.060 b=7.060 c=5.324 alpha=90.00 beta=90.00 gamma=128.25
Element x y z (fractional)
Nd: 0.224 0.776 0.750
Nd: 0.776 0.224 0.250
Zn: 0.205 0.205 0.000
Zn: 0.205 0.205 0.500
Zn: 0.361 0.639 0.250
Zn: 0.639 0.361 0.750
Zn: 0.795 0.795 0.000
Zn: 0.795 0.795 0.500
Ni: 0.435 0.565 0.750
Ni: 0.565 0.435 0.250
Rh: 0.151 0.849 0.250
Rh: 0.849 0.151 0.750

---

A plane-wave DFT calculation with GGA-PBE was carried out for a relaxed Nd2Zn5Ni2Rh crystal.

Output
The value obtained for the energy of formation is -0.298 eV per atom. As for the final energy: -37.8 eV/f.u.

Unit cell a=9.327 b=9.327 c=3.993 alpha=90.00 beta=90.00 gamma=90.00
Element x y z (fractional)
Nd: 0.185 0.315 0.000
Nd: 0.315 0.815 0.000
Nd: 0.685 0.185 0.000
Nd: 0.815 0.685 0.000
Zn: 0.000 0.500 0.500
Zn: 0.052 0.802 0.500
Zn: 0.198 0.052 0.500
Zn: 0.302 0.552 0.500
Zn: 0.448 0.302 0.500
Zn: 0.500 0.000 0.500
Zn: 0.552 0.698 0.500
Zn: 0.698 0.448 0.500
Zn: 0.802 0.948 0.500
Zn: 0.948 0.198 0.500
Ni: 0.110 0.610 0.000
Ni: 0.390 0.110 0.000
Ni: 0.610 0.890 0.000
Ni: 0.890 0.390 0.000
Rh: 0.000 0.000 0.000
Rh: 0.500 0.500 0.000

---

A plane-wave DFT calculation with GGA-PBE was carried out for a relaxed Nd2Zn3Ni12Rh crystal.

Output
The value obtained for the energy of formation is 0.117 eV per atom. As for the final energy: -88.0 eV/f.u.

Unit cell a=9.566 b=9.566 c=9.566 alpha=36.21 beta=36.21 gamma=36.21
Element x y z (fractional)
Nd: 0.150 0.150 0.150
Nd: 0.850 0.850 0.850
Zn: 0.000 0.500 0.500
Zn: 0.500 0.000 0.500
Zn: 0.500 0.500 0.000
Ni: 0.081 0.081 0.689
Ni: 0.081 0.689 0.081
Ni: 0.144 0.570 0.570
Ni: 0.311 0.919 0.919
Ni: 0.430 0.430 0.856
Ni: 0.430 0.856 0.430
Ni: 0.570 0.144 0.570
Ni: 0.570 0.570 0.144
Ni: 0.689 0.081 0.081
Ni: 0.856 0.430 0.430
Ni: 0.919 0.311 0.919
Ni: 0.919 0.919 0.311
Rh: 0.500 0.500 0.500

---

Question: What is the energy of formation in the sixth record?
Answer: -0.600 eV per atom